[1]
La2NdI8: relaxed, PBE.

a = 16.037 Å, b = 11.910 Å, c = 6.622 Å
α = 90.00°, β = 90.91°, γ = 90.00°
Space group C2/m (No. 12)
Asymmetric unit:
La (0.207, 0.000, 0.222)
Nd (0.000, 0.000, 0.500)
I (0.081, 0.197, 0.247)
I (0.108, 0.500, 0.752)
I (0.182, 0.000, 0.725)

Summary:
Raw total energy ... -3.765 eV/atom
Raw formation energy ... -1308 meV/atom

=====

[2]
Pr3Si3Pd2: relaxed, PBE.

a = 4.390 Å, b = 10.731 Å, c = 14.848 Å
α = 90.00°, β = 90.00°, γ = 90.00°
Space group Cmcm (No. 63)
Asymmetric unit:
Pr (0.000, 0.099, 0.109)
Pr (0.000, 0.379, 0.250)
Si (0.000, 0.323, 0.750)
Si (0.000, 0.397, 0.039)
Pd (0.000, 0.194, 0.596)

Summary:
Raw total energy ... -5.963 eV/atom
Raw formation energy ... -839 meV/atom

=====

[3]
DyZnPd3: relaxed, PBE.

a = 5.891 Å, b = 8.175 Å, c = 7.682 Å
α = 90.00°, β = 90.00°, γ = 90.00°
Space group Pnma (No. 62)
Asymmetric unit:
Dy (0.121, 0.250, 0.008)
Zn (0.000, 0.000, 0.500)
Pd (0.180, 0.250, 0.373)
Pd (0.190, 0.571, 0.213)

Summary:
Raw total energy ... -4.843 eV/atom
Energy of formation from the pure elements ... -0.55 eV per atom